Record 1
Re2Tc6Ru | PBE-GGA | relaxed

Computed properties:
As for the space group: C2/m, No. 12. The density of states at the Fermi level comes out at 7.80 states/eV per cell. As for the formation energy: 0.14 eV/atom.

Cell and atoms, written as CIF:
```
data_Re2Tc6Ru
_chemical_formula_sum 'Re2 Tc6 Ru1'
_symmetry_space_group_name_H-M 'P 1'
_symmetry_Int_Tables_number 1
_symmetry_space_group_name_Hall 'P 1'
_cell_length_a 2.738
_cell_length_b 11.493
_cell_length_c 4.709
_cell_angle_alpha 70.28
_cell_angle_beta 73.10
_cell_angle_gamma 83.16
loop_
_atom_site_label
_atom_site_type_symbol
_atom_site_fract_x
_atom_site_fract_y
_atom_site_fract_z
_atom_site_occupancy
Re1 Re 0.149 0.822 0.879 1
Re2 Re 0.851 0.178 0.121 1
Tc1 Tc 0.716 0.608 0.960 1
Tc2 Tc 0.284 0.392 0.040 1
Tc3 Tc 0.869 0.936 0.326 1
Tc4 Tc 0.434 0.716 0.416 1
Tc5 Tc 0.131 0.064 0.674 1
Tc6 Tc 0.566 0.284 0.584 1
Ru1 Ru 0.000 0.500 0.500 1
```

Record 2
Hg2PtAu | PBE-GGA | relaxed

Computed properties:
The energy relative to the lowest polymorph listed for this composition comes out at 0.0679 eV per atom. As for the space group: C2/m, No. 12. The density of states at the Fermi level comes out at 1.01 states/eV per cell. As for the formation energy: 0.11 eV/atom.

Cell and atoms, written as CIF:
```
data_Hg2PtAu
_chemical_formula_sum 'Hg2 Pt1 Au1'
_symmetry_space_group_name_H-M 'P 1'
_symmetry_Int_Tables_number 1
_symmetry_space_group_name_Hall 'P 1'
_cell_length_a 4.900
_cell_length_b 4.900
_cell_length_c 5.507
_cell_angle_alpha 79.73
_cell_angle_beta 79.73
_cell_angle_gamma 36.69
loop_
_atom_site_label
_atom_site_type_symbol
_atom_site_fract_x
_atom_site_fract_y
_atom_site_fract_z
_atom_site_occupancy
Au1 Au 0.750 0.750 0.750 1
Hg1 Hg 0.997 0.997 0.007 1
Hg2 Hg 0.503 0.503 0.493 1
Pt1 Pt 0.250 0.250 0.250 1
```

Record 3
Nd5Tl4Sn | PBE-GGA | relaxed

Computed properties:
As for the space group: P4/mmm, No. 123. The density of states at the Fermi level comes out at 6.24 states/eV per cell. As for the formation energy: -0.45 eV/atom.

Cell and atoms, written as CIF:
```
data_Nd5Tl4Sn
_chemical_formula_sum 'Nd5 Tl4 Sn1'
_symmetry_space_group_name_H-M 'P 1'
_symmetry_Int_Tables_number 1
_symmetry_space_group_name_Hall 'P 1'
_cell_length_a 3.748
_cell_length_b 3.748
_cell_length_c 21.063
_cell_angle_alpha 90.00
_cell_angle_beta 90.00
_cell_angle_gamma 90.00
loop_
_atom_site_label
_atom_site_type_symbol
_atom_site_fract_x
_atom_site_fract_y
_atom_site_fract_z
_atom_site_occupancy
Nd1 Nd 0.500 0.500 0.098 1
Nd2 Nd 0.500 0.500 0.300 1
Nd3 Nd 0.500 0.500 0.500 1
Nd4 Nd 0.500 0.500 0.700 1
Nd5 Nd 0.500 0.500 0.902 1
Tl1 Tl 0.000 0.000 0.201 1
Tl2 Tl 0.000 0.000 0.400 1
Tl3 Tl 0.000 0.000 0.600 1
Tl4 Tl 0.000 0.000 0.799 1
Sn1 Sn 0.000 0.000 0.000 1
```

Record 4
TaIr2Se | PBE-GGA | relaxed

Computed properties:
The uncorrected formation energy comes out at -0.26 eV/f.u. As for the space group: C2/m, No. 12. The density of states at the Fermi level comes out at 2.27 states/eV per cell.

Cell and atoms, written as CIF:
```
data_TaIr2Se
_chemical_formula_sum 'Ta1 Ir2 Se1'
_symmetry_space_group_name_H-M 'P 1'
_symmetry_Int_Tables_number 1
_symmetry_space_group_name_Hall 'P 1'
_cell_length_a 5.048
_cell_length_b 5.048
_cell_length_c 4.572
_cell_angle_alpha 87.38
_cell_angle_beta 87.38
_cell_angle_gamma 33.66
loop_
_atom_site_label
_atom_site_type_symbol
_atom_site_fract_x
_atom_site_fract_y
_atom_site_fract_z
_atom_site_occupancy
Ir1 Ir 0.979 0.979 0.012 1
Ir2 Ir 0.521 0.521 0.488 1
Se1 Se 0.750 0.750 0.750 1
Ta1 Ta 0.250 0.250 0.250 1
```

Record 5
NaCa2Bi | PBE-GGA | relaxed

Computed properties:
As for the space group: I-42d, No. 122. The density of states at the Fermi level comes out at 3.43 states/eV per cell. As for the formation energy: -0.21 eV/atom.

Cell and atoms, written as CIF:
```
data_NaCa2Bi
_chemical_formula_sum 'Na2 Ca4 Bi2'
_symmetry_space_group_name_H-M 'P 1'
_symmetry_Int_Tables_number 1
_symmetry_space_group_name_Hall 'P 1'
_cell_length_a 9.124
_cell_length_b 9.124
_cell_length_c 7.415
_cell_angle_alpha 52.03
_cell_angle_beta 52.03
_cell_angle_gamma 90.00
loop_
_atom_site_label
_atom_site_type_symbol
_atom_site_fract_x
_atom_site_fract_y
_atom_site_fract_z
_atom_site_occupancy
Na1 Na 0.500 0.500 0.000 1
Na2 Na 0.250 0.750 0.500 1
Ca1 Ca 0.662 0.125 0.250 1
Ca2 Ca 0.088 0.625 0.250 1
Ca3 Ca 0.375 0.338 0.750 1
Ca4 Ca 0.875 0.912 0.750 1
Bi1 Bi 0.000 0.000 0.000 1
Bi2 Bi 0.750 0.250 0.500 1
```

Record 6
SrInGaHIr | PBE-GGA | relaxed

Computed properties:
The energy relative to the lowest polymorph listed for this composition comes out at 0.0308 eV per atom. As for the space group: R3m, No. 160. The density of states at the Fermi level comes out at 5.46 states/eV per cell.

Cell and atoms, written as CIF:
```
data_SrInGaHIr
_chemical_formula_sum 'Sr3 In3 Ga3 H3 Ir3'
_symmetry_space_group_name_H-M 'P 1'
_symmetry_Int_Tables_number 1
_symmetry_space_group_name_Hall 'P 1'
_cell_length_a 4.402
_cell_length_b 4.402
_cell_length_c 18.120
_cell_angle_alpha 90.00
_cell_angle_beta 90.00
_cell_angle_gamma 120.00
loop_
_atom_site_label
_atom_site_type_symbol
_atom_site_fract_x
_atom_site_fract_y
_atom_site_fract_z
_atom_site_occupancy
Sr1 Sr 0.000 0.000 0.740 1
Sr2 Sr 0.333 0.667 0.407 1
Sr3 Sr 0.667 0.333 0.073 1
In1 In 0.000 0.000 0.537 1
In2 In 0.333 0.667 0.204 1
In3 In 0.667 0.333 0.870 1
Ga1 Ga 0.000 0.000 0.949 1
Ga2 Ga 0.333 0.667 0.616 1
Ga3 Ga 0.667 0.333 0.283 1
H1 H 0.000 0.000 0.372 1
H2 H 0.333 0.667 0.039 1
H3 H 0.667 0.333 0.705 1
Ir1 Ir 0.000 0.000 0.281 1
Ir2 Ir 0.333 0.667 0.948 1
Ir3 Ir 0.667 0.333 0.615 1
```

Record 7
Al2TlAgBr8 | PBE-GGA | relaxed

Computed properties:
The uncorrected formation energy comes out at -11.08 eV/f.u. As for the space group: P-3m1, No. 164. The density of states at the Fermi level comes out at 0.00 states/eV per cell.

Cell and atoms, written as CIF:
```
data_Al2TlAgBr8
_chemical_formula_sum 'Al2 Tl1 Ag1 Br8'
_symmetry_space_group_name_H-M 'P 1'
_symmetry_Int_Tables_number 1
_symmetry_space_group_name_Hall 'P 1'
_cell_length_a 7.601
_cell_length_b 7.601
_cell_length_c 9.369
_cell_angle_alpha 90.00
_cell_angle_beta 90.00
_cell_angle_gamma 120.00
loop_
_atom_site_label
_atom_site_type_symbol
_atom_site_fract_x
_atom_site_fract_y
_atom_site_fract_z
_atom_site_occupancy
Al1 Al 0.333 0.667 0.713 1
Al2 Al 0.667 0.333 0.287 1
Tl1 Tl 0.000 0.000 0.500 1
Ag1 Ag 0.000 0.000 0.000 1
Br1 Br 0.165 0.330 0.794 1
Br2 Br 0.165 0.835 0.794 1
Br3 Br 0.670 0.835 0.794 1
Br4 Br 0.330 0.165 0.206 1
Br5 Br 0.667 0.333 0.532 1
Br6 Br 0.333 0.667 0.468 1
Br7 Br 0.835 0.670 0.206 1
Br8 Br 0.835 0.165 0.206 1
```

Record 8
NaTb4CeS8 | PBE-GGA | relaxed

Computed properties:
The uncorrected formation energy comes out at -26.96 eV/f.u. As for the space group: R3m, No. 160. The density of states at the Fermi level comes out at 5.94 states/eV per cell.

Cell and atoms, written as CIF:
```
data_NaTb4CeS8
_chemical_formula_sum 'Na1 Tb4 Ce1 S8'
_symmetry_space_group_name_H-M 'P 1'
_symmetry_Int_Tables_number 1
_symmetry_space_group_name_Hall 'P 1'
_cell_length_a 8.135
_cell_length_b 8.135
_cell_length_c 8.235
_cell_angle_alpha 60.40
_cell_angle_beta 60.40
_cell_angle_gamma 60.00
loop_
_atom_site_label
_atom_site_type_symbol
_atom_site_fract_x
_atom_site_fract_y
_atom_site_fract_z
_atom_site_occupancy
Na1 Na 0.374 0.374 0.879 1
Tb1 Tb 0.626 0.626 0.121 1
Tb2 Tb 0.004 0.487 0.504 1
Tb3 Tb 0.487 0.004 0.504 1
Tb4 Tb 0.004 0.004 0.504 1
Ce1 Ce 0.003 0.003 0.990 1
S1 S 0.242 0.783 0.732 1
S2 S 0.783 0.242 0.732 1
S3 S 0.242 0.242 0.732 1
S4 S 0.239 0.239 0.284 1
S5 S 0.753 0.229 0.264 1
S6 S 0.229 0.753 0.264 1
S7 S 0.753 0.753 0.264 1
S8 S 0.758 0.758 0.725 1
```

Record 9
La4Mg3Tl | PBE-GGA | relaxed

Computed properties:
As for the space group: P4/mmm, No. 123. The density of states at the Fermi level comes out at 11.61 states/eV per cell. As for the formation energy: -0.19 eV/atom.

Cell and atoms, written as CIF:
```
data_La4Mg3Tl
_chemical_formula_sum 'La4 Mg3 Tl1'
_symmetry_space_group_name_H-M 'P 1'
_symmetry_Int_Tables_number 1
_symmetry_space_group_name_Hall 'P 1'
_cell_length_a 3.976
_cell_length_b 3.976
_cell_length_c 15.838
_cell_angle_alpha 90.00
_cell_angle_beta 90.00
_cell_angle_gamma 90.00
loop_
_atom_site_label
_atom_site_type_symbol
_atom_site_fract_x
_atom_site_fract_y
_atom_site_fract_z
_atom_site_occupancy
Mg1 Mg 0.500 0.500 0.253 1
Mg2 Mg 0.500 0.500 0.500 1
Mg3 Mg 0.500 0.500 0.747 1
Tl1 Tl 0.500 0.500 0.000 1
La1 La 0.000 0.000 0.874 1
La2 La 0.000 0.000 0.126 1
La3 La 0.000 0.000 0.374 1
La4 La 0.000 0.000 0.626 1
```

Record 10
Y6HoTm3Sc2 | PBE-GGA | relaxed

Computed properties:
As for the space group: C2/m, No. 12. The density of states at the Fermi level comes out at 19.01 states/eV per cell. As for the formation energy: 0.05 eV/atom.

Cell and atoms, written as CIF:
```
data_Y6HoTm3Sc2
_chemical_formula_sum 'Y6 Ho1 Tm3 Sc2'
_symmetry_space_group_name_H-M 'P 1'
_symmetry_Int_Tables_number 1
_symmetry_space_group_name_Hall 'P 1'
_cell_length_a 6.061
_cell_length_b 6.061
_cell_length_c 11.575
_cell_angle_alpha 95.00
_cell_angle_beta 95.00
_cell_angle_gamma 119.95
loop_
_atom_site_label
_atom_site_type_symbol
_atom_site_fract_x
_atom_site_fract_y
_atom_site_fract_z
_atom_site_occupancy
Y1 Y 0.917 0.582 0.754 1
Y2 Y 0.747 0.747 0.246 1
Y3 Y 0.083 0.418 0.246 1
Y4 Y 0.582 0.917 0.754 1
Y5 Y 0.253 0.253 0.754 1
Y6 Y 0.418 0.083 0.246 1
Ho1 Ho 0.000 0.000 0.000 1
Tm1 Tm 0.167 0.833 0.500 1
Tm2 Tm 0.833 0.167 0.500 1
Tm3 Tm 0.500 0.500 0.500 1
Sc1 Sc 0.333 0.667 0.000 1
Sc2 Sc 0.667 0.333 0.000 1
```